[1]
Entry from the Alexandria database: a relaxed structure of Rb3Ac2LaS6 (PBE).

Properties
The value obtained for the total energy is -5.283 eV/atom. The calculation puts the volume at 783 Å³ per cell. The uncorrected formation energy is -1.882 eV per atom.

Lattice parameters (Å, degrees): 20.0259 4.4186 9.2550 90.00 106.96 90.00
Closest atoms and distances in Å follow each position.
Space group C2/m (No. 12)
One atom of each set of equivalent atoms:
Rb 0.0000 0.0000 0.0000 (multiplicity 2)  6 S 3.42-3.48
Rb 0.1663 0.5000 0.3337 (multiplicity 4)  6 S 3.41-3.50
Ac 0.1656 0.5000 0.8309 (multiplicity 4)  6 S 3.00-3.02
La 0.0000 0.0000 0.5000 (multiplicity 2)  6 S 2.93-2.95
S 0.0091 0.5000 0.7156 (multiplicity 4)  2 La 2.95, 1 Ac 3.00
S 0.1530 0.0000 0.6048 (multiplicity 4)  1 La 2.93, 2 Ac 3.00
S 0.1766 0.0000 0.0579 (multiplicity 4)  3 Ac 3.01-3.02

***

[2]
Entry from the Alexandria database: a relaxed structure of Rb2AcLaS4 (PBE).

Properties
The value obtained for the total energy is -5.320 eV/atom. The calculation puts the volume at 258 Å³ per cell. The uncorrected formation energy is -1.885 eV per atom.

Lattice parameters (Å, degrees): 7.6129 4.3956 8.1155 90.00 108.18 90.00
Closest atoms and distances in Å follow each position.
Space group P2/m (No. 10)
One atom of each set of equivalent atoms:
Rb 0.0000 0.0000 0.0000 (multiplicity 1)  6 S 3.46
Rb 0.5000 0.5000 0.0000 (multiplicity 1)  6 S 3.40-3.41
Ac 0.0000 0.5000 0.5000 (multiplicity 1)  6 S 3.00
La 0.5000 0.0000 0.5000 (multiplicity 1)  6 S 2.93-2.94
S 0.2406 0.0000 0.7019 (multiplicity 2)  1 La 2.93, 2 Ac 3.00
S 0.2737 0.5000 0.3016 (multiplicity 2)  2 La 2.94, 1 Ac 3.00

***

[3]
Entry from the Alexandria database: a relaxed structure of Rb2AcLaSe4 (PBE).

Properties
The value obtained for the total energy is -4.921 eV/atom. The calculation puts the volume at 287 Å³ per cell. The uncorrected formation energy is -1.808 eV per atom.

Lattice parameters (Å, degrees): 7.8733 4.5440 8.4331 90.00 108.09 90.00
Closest atoms and distances in Å follow each position.
Space group P2/m (No. 10)
One atom of each set of equivalent atoms:
Rb 0.0000 0.0000 0.0000 (multiplicity 1)  6 Se 3.56-3.57
Rb 0.5000 0.5000 0.0000 (multiplicity 1)  6 Se 3.51
Ac 0.0000 0.5000 0.5000 (multiplicity 1)  6 Se 3.12-3.13
La 0.5000 0.0000 0.5000 (multiplicity 1)  6 Se 3.06
Se 0.2420 0.0000 0.7062 (multiplicity 2)  1 La 3.06, 2 Ac 3.12
Se 0.2724 0.5000 0.2977 (multiplicity 2)  2 La 3.06, 1 Ac 3.13

***

[4]
Entry from the Alexandria database: a relaxed structure of Rb3AcLa2Te6 (PBE).

Properties
The value obtained for the total energy is -4.468 eV/atom. The calculation puts the volume at 1020 Å³ per cell. The uncorrected formation energy is -1.492 eV per atom.

Lattice parameters (Å, degrees): 8.2931 14.3635 8.9969 90.00 107.90 90.00
Closest atoms and distances in Å follow each position.
Space group C2/m (No. 12)
One atom of each set of equivalent atoms:
Rb 0.0000 0.0000 0.0000 (multiplicity 2)  6 Te 3.68-3.75
Rb 0.0000 0.3344 0.0000 (multiplicity 4)  6 Te 3.69-3.75
Ac 0.0000 0.5000 0.5000 (multiplicity 2)  6 Te 3.34
La 0.0000 0.1668 0.5000 (multiplicity 4)  6 Te 3.26-3.27
Te 0.2289 0.0000 0.7083 (multiplicity 4)  2 La 3.27, 1 Ac 3.34
Te 0.2398 0.3298 0.7085 (multiplicity 8)  2 La 3.26-3.27, 1 Ac 3.34

***

[5]
Entry from the Alexandria database: a relaxed structure of RbAc2LaTe4 (PBE).

Properties
The value obtained for the total energy is -4.792 eV/atom. The calculation puts the volume at 308 Å³ per cell. The uncorrected formation energy is -1.457 eV per atom.

Lattice parameters (Å, degrees): 8.2671 4.7171 8.3510 90.00 108.76 90.00
Closest atoms and distances in Å follow each position.
Space group P2/m (No. 10)
One atom of each set of equivalent atoms:
Rb 0.0000 0.0000 0.0000 (multiplicity 1)  6 Te 3.43-3.46
Ac 0.5000 0.0000 0.5000 (multiplicity 1)  6 Te 3.30-3.33
Ac 0.5000 0.5000 0.0000 (multiplicity 1)  6 Te 3.42
La 0.0000 0.5000 0.5000 (multiplicity 1)  6 Te 3.34
Te 0.2481 0.0000 0.7404 (multiplicity 2)  3 Ac 3.33-3.42, 2 La 3.34, 1 Rb 3.43
Te 0.2584 0.5000 0.2644 (multiplicity 2)  3 Ac 3.30-3.42, 1 La 3.34, 2 Rb 3.46

***

[6]
Entry from the Alexandria database: a relaxed structure of Rb2AcLaTe4 (PBE).

Properties
The value obtained for the total energy is -4.433 eV/atom. The calculation puts the volume at 344 Å³ per cell. The uncorrected formation energy is -1.491 eV per atom.

Lattice parameters (Å, degrees): 8.3360 4.8106 9.0071 90.00 107.93 90.00
Closest atoms and distances in Å follow each position.
Space group P2/m (No. 10)
One atom of each set of equivalent atoms:
Rb 0.0000 0.0000 0.0000 (multiplicity 1)  6 Te 3.76
Rb 0.5000 0.5000 0.0000 (multiplicity 1)  6 Te 3.70
Ac 0.0000 0.5000 0.5000 (multiplicity 1)  6 Te 3.34
La 0.5000 0.0000 0.5000 (multiplicity 1)  6 Te 3.27-3.28
Te 0.2437 0.0000 0.7115 (multiplicity 2)  1 La 3.27, 2 Ac 3.34
Te 0.2709 0.5000 0.2926 (multiplicity 2)  2 La 3.28, 1 Ac 3.34

***

[7]
Entry from the Alexandria database: a relaxed structure of RbAc2La3Te6 (PBE).

Properties
The value obtained for the total energy is -5.070 eV/atom. The calculation puts the volume at 886 Å³ per cell. The uncorrected formation energy is -1.502 eV per atom.

Lattice parameters (Å, degrees): 20.5917 4.6478 9.5384 90.00 104.00 90.00
Closest atoms and distances in Å follow each position.
Space group C2/m (No. 12)
One atom of each set of equivalent atoms:
Rb 0.0000 0.0000 0.0000 (multiplicity 2)  6 Te 3.45-3.47
Ac 0.1692 0.5000 0.3399 (multiplicity 4)  6 Te 3.34-3.42
La 0.0000 0.0000 0.5000 (multiplicity 2)  6 Te 3.21-3.26
La 0.1633 0.5000 0.8255 (multiplicity 4)  6 Te 3.24-3.33
Te 0.0004 0.5000 0.2673 (multiplicity 4)  3 La 3.21-3.27, 1 Ac 3.38, 2 Rb 3.45
Te 0.1630 0.0000 0.5884 (multiplicity 4)  3 La 3.24-3.26, 3 Ac 3.34-3.36
Te 0.1736 0.0000 0.0797 (multiplicity 4)  3 La 3.26-3.33, 2 Ac 3.42, 1 Rb 3.47

***

[8]
Entry from the Alexandria database: a relaxed structure of Ac2LaRh (PBE).

Properties
The formation energy from the elements comes out at -1.5 eV per formula unit. The value obtained for the total energy is -5.501 eV/atom. As for the offset from the most stable computed form: 50 meV per atom. The calculation puts the volume at 307 Å³ per cell.

Lattice parameters (Å, degrees): 4.3301 5.7093 12.4259 90.00 90.00 90.00
Closest atoms and distances in Å follow each position.
Space group Immm (No. 71)
One atom of each set of equivalent atoms:
Ac 0.0000 0.0000 0.1643 (multiplicity 4)  2 Rh 2.98
La 0.0000 0.0000 0.5000 (multiplicity 2)  2 Rh 2.85
Rh 0.0000 0.5000 0.5000 (multiplicity 2)  2 La 2.85, 4 Ac 2.98

***

[9]
Entry from the Alexandria database: a relaxed structure of AcLa6Rh4 (PBE).

Properties
The formation energy from the elements comes out at -6.1 eV per formula unit. The value obtained for the total energy is -6.293 eV/atom. The calculation puts the volume at 646 Å³ per cell.

Lattice parameters (Å, degrees): 8.3984 11.5399 6.9576 90.00 106.75 90.00
Closest atoms and distances in Å follow each position.
Space group Cm (No. 8)
One atom of each set of equivalent atoms:
Ac 0.0000 0.0000 0.0000 (multiplicity 2)  2 Rh 2.96-3.03
La 0.1300 0.2388 0.5234 (multiplicity 4)  3 Rh 2.83-3.00
La 0.3374 0.5000 0.4332 (multiplicity 2)  4 Rh 2.82-3.10
La 0.3732 0.0000 0.4097 (multiplicity 2)  2 Rh 2.73-2.81
La 0.4937 0.1616 0.9707 (multiplicity 4)  4 Rh 2.94-3.25
Rh 0.1594 0.5000 0.7201 (multiplicity 2)  2 La 2.73-2.82, 1 Ac 2.96
Rh 0.1971 0.0000 0.6969 (multiplicity 2)  4 La 2.81-3.05, 1 Ac 3.03
Rh 0.3119 0.2561 0.2391 (multiplicity 4)  5 La 2.83-3.10

***

[10]
Entry from the Alexandria database: a relaxed structure of Ac2LaRh (PBE).

Properties
The formation energy from the elements comes out at -1.7 eV per formula unit. The value obtained for the total energy is -5.551 eV/atom. As for the offset from the most stable computed form: 0 meV per atom. The calculation puts the volume at 552 Å³ per cell.

Lattice parameters (Å, degrees): 7.6198 10.5933 6.8331 90.00 90.00 90.00
Closest atoms and distances in Å follow each position.
Space group Pnma (No. 62)
One atom of each set of equivalent atoms:
Ac 0.1724 0.0701 0.1725 (multiplicity 8)  2 Rh 3.10-3.12
La 0.0437 0.2500 0.6641 (multiplicity 4)  2 Rh 2.86-2.92
Rh 0.1306 0.7500 0.9550 (multiplicity 4)  2 La 2.86-2.92, 4 Ac 3.10-3.12

***

[11]
Entry from the Alexandria database: a relaxed structure of AcLa3Rh (PBE).

Properties
The formation energy from the elements comes out at -1.6 eV per formula unit. The value obtained for the total energy is -5.567 eV/atom. As for the offset from the most stable computed form: 0 meV per atom. The calculation puts the volume at 707 Å³ per cell.

Lattice parameters (Å, degrees): 12.4792 8.8278 6.5162 90.00 100.12 90.00
Closest atoms and distances in Å follow each position.
Space group C2/m (No. 12)
One atom of each set of equivalent atoms:
Ac 0.0935 0.0000 0.2911 (multiplicity 4)  1 Rh 2.98
La 0.1278 0.2956 0.7980 (multiplicity 8)  1 Rh 2.77
La 0.1472 0.5000 0.3182 (multiplicity 4)  1 Rh 2.70
Rh 0.1894 0.0000 0.9030 (multiplicity 4)  3 La 2.70-2.77, 1 Ac 2.98

***

[12]
Entry from the Alexandria database: a relaxed structure of AcLa4Rh3 (PBE).

Properties
The formation energy from the elements comes out at -5.0 eV per formula unit. The value obtained for the total energy is -6.358 eV/atom. The calculation puts the volume at 1015 Å³ per cell.

Lattice parameters (Å, degrees): 14.0798 7.3283 10.6513 90.00 112.56 90.00
Closest atoms and distances in Å follow each position.
Space group Cc (No. 9)
One atom of each set of equivalent atoms:
Ac 0.0000 0.1760 0.0000 (multiplicity 4)  3 Rh 2.98-2.99
La 0.1019 0.3329 0.6885 (multiplicity 4)  4 Rh 2.91-2.94
La 0.1989 0.1655 0.4007 (multiplicity 4)  4 Rh 2.90-2.94
La 0.2897 0.3376 0.1063 (multiplicity 4)  4 Rh 2.89-2.96
La 0.3935 0.1774 0.8009 (multiplicity 4)  3 Rh 2.85-2.90
Rh 0.0930 0.4912 0.4307 (multiplicity 4)  5 La 2.89-2.96, 1 Ac 2.99, 1 Rh 3.23
Rh 0.2025 0.9995 0.1535 (multiplicity 4)  5 La 2.85-2.93, 1 Ac 2.98
Rh 0.2964 0.4973 0.8601 (multiplicity 4)  5 La 2.90-2.94, 1 Ac 2.98, 1 Rh 3.23